No. 1
! AcSi2TcRu, relaxed, DFT PBE-GGA; values from VASP
! E, eV per atom: -7.610
! Formation energy from raw total energies, meV/atom: -690.3
&SYSTEM
  ibrav = 0, nat = 5, ntyp = 4
/
ATOMIC_SPECIES
Ac 227.00 Ac.upf
Si 28.09 Si.upf
Tc 98.00 Tc.upf
Ru 101.07 Ru.upf
CELL_PARAMETERS angstrom
-2.173 2.173 5.105
2.173 -2.173 5.105
2.173 2.173 -5.105
ATOMIC_POSITIONS angstrom
Ac 0.000 0.000 0.000
Si 0.000 0.000 3.602
Si 0.000 0.000 6.608
Tc 0.000 2.173 2.553
Ru 2.173 0.000 2.553



No. 2
! TlCdF4, relaxed, DFT PBE-GGA; values from VASP
! E, eV per atom: -3.748
! Formation energy from raw total energies, meV/atom: -1953.9
&SYSTEM
  ibrav = 0, nat = 6, ntyp = 3
/
ATOMIC_SPECIES
Tl 204.38 Tl.upf
Cd 112.41 Cd.upf
F 19.00 F.upf
CELL_PARAMETERS angstrom
3.796 -3.799 0.000
3.796 3.799 0.000
0.000 0.000 3.673
ATOMIC_POSITIONS angstrom
Tl 0.000 0.000 0.000
Cd 3.796 0.000 1.836
F 3.796 2.270 1.836
F 2.404 0.000 0.000
F 5.187 0.000 0.000
F 3.796 -2.270 1.836



No. 3
! KTcMo2Rh, relaxed, DFT PBE-GGA; values from VASP
! E, eV per atom: -5.085
! Energy of formation, meV per atom: 3010
&SYSTEM
  ibrav = 0, nat = 5, ntyp = 4
/
ATOMIC_SPECIES
K 39.10 K.upf
Tc 98.00 Tc.upf
Mo 95.94 Mo.upf
Rh 102.91 Rh.upf
CELL_PARAMETERS angstrom
4.434 0.000 0.000
0.000 4.434 0.000
0.000 0.000 4.371
ATOMIC_POSITIONS angstrom
K 0.000 0.000 0.000
Tc 0.000 0.000 2.186
Mo 0.000 2.217 0.000
Mo 2.217 0.000 0.000
Rh 2.217 2.217 2.186